No. 1
Computed, not measured: PmTm7In2 after structural relaxation at the PBE level of DFT.

Structure (CIF):
```
data_PmTm7In2
_chemical_formula_sum 'Pm2 Tm14 In4'
_cell_length_a 9.048
_cell_length_b 15.108
_cell_length_c 5.445
_cell_angle_alpha 90.00
_cell_angle_beta 90.00
_cell_angle_gamma 90.00
_space_group_name_H-M_alt 'C m m m'
_space_group_IT_number 65
_space_group_name_Hall '-C 2 2'
loop_
_atom_site_label
_atom_site_fract_x
_atom_site_fract_y
_atom_site_fract_z
Pm1 0.000 0.000 0.000
Tm1 0.000 0.232 0.000
Tm2 0.000 0.500 0.500
Tm3 0.181 0.123 0.500
In1 0.000 0.303 0.500
```

Computed properties:
electronic total energy = -37.970 eV/f.u.

No. 2
Computed, not measured: Pm6Tm8In after structural relaxation at the PBE level of DFT.

Structure (CIF):
```
data_Pm6Tm8In
_chemical_formula_sum 'Pm6 Tm8 In1'
_cell_length_a 9.3945
_cell_length_b 9.3945
_cell_length_c 6.3038
_cell_angle_alpha 90.00
_cell_angle_beta 90.00
_cell_angle_gamma 120.00
_space_group_name_H-M_alt 'P -3'
_space_group_IT_number 147
_space_group_name_Hall '-P 3'
loop_
_atom_site_label
_atom_site_fract_x
_atom_site_fract_y
_atom_site_fract_z
Pm1 0.0894 0.6389 0.1863
Tm1 0.0388 0.7756 0.6885
Tm2 0.3333 0.6667 0.6766
In1 0.0000 0.0000 0.0000
```

Computed properties:
electronic total energy = -65.917 eV/f.u.

No. 3
Computed, not measured: Pm5Tm6In after structural relaxation at the PBE level of DFT.

Structure (CIF):
```
data_Pm5Tm6In
_chemical_formula_sum 'Pm10 Tm12 In2'
_cell_length_a 4.975
_cell_length_b 9.985
_cell_length_c 14.948
_cell_angle_alpha 90.00
_cell_angle_beta 90.00
_cell_angle_gamma 90.00
_space_group_name_H-M_alt 'I m m m'
_space_group_IT_number 71
_space_group_name_Hall '-I 2 2'
loop_
_atom_site_label
_atom_site_fract_x
_atom_site_fract_y
_atom_site_fract_z
Pm1 0.000 0.000 0.000
Pm2 0.000 0.000 0.333
Pm3 0.000 0.500 0.337
Tm1 0.000 0.243 0.500
Tm2 0.000 0.254 0.165
In1 0.000 0.500 0.000
```

Computed properties:
electronic total energy = -53.885 eV/f.u.